{"formula": "LaHRuPt2", "functional": "PBE", "state": "optimized geometry", "lattice_angstrom": [[4.226, 0.000, 0.000], [0.000, 4.226, 0.000], [0.000, 0.000, 4.263]], "species": ["La", "H", "Ru", "Pt", "Pt"], "frac_coords": [[0.000, 0.000, 0.000], [0.500, 0.500, 0.500], [0.500, 0.500, 0.000], [0.000, 0.500, 0.500], [0.500, 0.000, 0.500]], "e_tot_ev_per_atom": -6.263, "magmom_total_mub_per_cell": 0.0, "crystal_system": "tetragonal", "n_ef_per_ev_cell": 3.97}